# 1
# Al6VZn

An optimized crystal structure of Al6VZn (GGA-PBE, Alexandria).

Values from the calculation:
ΔE_f in eV per atom: 0.054
Total moment in μB per formula unit: 0.000

Cell and atoms, written as POSCAR:
```
Al6VZn
1.0
6.971 0.882 0.000
2.849 4.374 0.000
1.424 2.187 4.635
Zn Al V
1 6 1
Direct
0.000 0.000 0.000
0.251 0.706 0.491
0.251 0.197 0.509
0.749 0.803 0.491
0.742 0.775 0.000
0.258 0.225 0.000
0.749 0.294 0.509
0.500 0.500 0.000
```

---

# 2
# AlV3Zn

An optimized crystal structure of AlV3Zn (GGA-PBE, Alexandria).

Values from the calculation:
Energy above the lowest structure with this stoichiometry in kJ per mole of atoms: 2.2
ΔE_f in eV per atom: 0.108
Total moment in μB per formula unit: 0.000

Cell and atoms, written as POSCAR:
```
AlV3Zn
1.0
5.283 0.000 0.842
0.000 6.494 0.000
-0.670 0.000 4.202
V Al Zn
6 2 2
Direct
0.795 0.426 0.250
0.013 0.750 0.250
0.795 0.074 0.250
0.205 0.574 0.750
0.205 0.926 0.750
0.987 0.250 0.750
0.732 0.750 0.750
0.268 0.250 0.250
0.522 0.250 0.750
0.478 0.750 0.250
```